## LiNd2Lu (GGA-PBE)

Data for crystalline LiNd2Lu at its relaxed geometry.

**N(E_F)**: 4.422 states/eV/cell
**Total magnetic moment**: 0.00 μB per formula unit
**Energy of formation from the pure elements**: 137 meV/atom
**Calculated total energy**: -3.8559 eV/atom
**Energy relative to the lowest polymorph listed for this composition**: 0.069 eV/atom

a = 5.5529 Å, b = 5.5529 Å, c = 5.5529 Å
α = 60.00°, β = 60.00°, γ = 60.00°
With the nearest neighbours (Å) after each atom.
Element x y z (fractional)
Lu  0.0000  0.0000  0.0000  8 Nd 3.40
Nd  0.2500  0.2500  0.2500  4 Li 3.40, 4 Lu 3.40
Nd  0.7500  0.7500  0.7500  4 Lu 3.40, 4 Li 3.40
Li  0.5000  0.5000  0.5000  8 Nd 3.40

## Li2NdLu (GGA-PBE)

Data for crystalline Li2NdLu at its relaxed geometry.

**N(E_F)**: 4.448 states/eV/cell
**Total magnetic moment**: 0.00 μB per formula unit
**Energy of formation from the pure elements**: 299 meV/atom
**Calculated total energy**: -2.9805 eV/atom
**Energy relative to the lowest polymorph listed for this composition**: 0.146 eV/atom

a = 3.3317 Å, b = 3.3317 Å, c = 12.0140 Å
α = 82.03°, β = 82.03°, γ = 60.00°
With the nearest neighbours (Å) after each atom.
Element x y z (fractional)
Lu  0.0000  0.0000  0.0000  2 Li 3.08, 6 Lu 3.33
Nd  0.5000  0.5000  0.5000  6 Nd 3.33, 6 Li 3.44
Li  0.0867  0.0867  0.7400  1 Lu 3.08, 6 Li 3.33, 3 Nd 3.44
Li  0.9133  0.9133  0.2600  1 Lu 3.08, 6 Li 3.33, 3 Nd 3.44

## LiNdLuOs (GGA-PBE)

Data for crystalline LiNdLuOs at its relaxed geometry.

**N(E_F)**: 2.132 states/eV/cell
**Total magnetic moment**: 0.00 μB per formula unit
**Energy of formation from the pure elements**: -177 meV/atom
**Calculated total energy**: -5.7850 eV/atom

a = 4.9303 Å, b = 4.9303 Å, c = 4.9303 Å
α = 60.00°, β = 60.00°, γ = 60.00°
With the nearest neighbours (Å) after each atom.
Element x y z (fractional)
Nd  0.2500  0.2500  0.2500  4 Li 3.02, 4 Os 3.02
Lu  0.7500  0.7500  0.7500  4 Os 3.02, 4 Li 3.02
Os  0.5000  0.5000  0.5000  4 Nd 3.02, 4 Lu 3.02
Li  0.0000  0.0000  0.0000  4 Nd 3.02, 4 Lu 3.02

Ρ values, unit g/cm3, following the record order: 6.45 4.85 10.12.